K2AcTlCl6: relaxed, GGA-PBE.

```
20
Lattice="-6.1767 -4.2730 1.9496 3.7990 -6.7635 -2.7879 4.0897 -1.9424 10.2849" Properties=species:S:1:pos:R:3 pbc="T T T"
K 4.4010 -6.8967 0.1452
K 2.0159 -7.6160 7.2470
K -2.6890 -6.0822 9.3013
K -0.3040 -5.3629 2.1996
Cl -2.6247 -3.7897 3.7905
Cl 4.3367 -9.1892 5.6561
Cl 0.4953 -10.0595 5.0878
Cl 2.3753 -7.0357 2.8809
Cl 1.0052 -6.0017 -0.6379
Cl 1.2166 -2.9194 4.3588
Cl -0.6633 -5.9431 6.5657
Cl 1.5984 -10.6181 8.8025
Cl 0.7068 -6.9771 10.0845
Cl 0.1136 -2.3608 0.6441
Cl 3.8385 -4.9923 6.9820
Cl -2.1265 -7.9866 2.4645
Ac -1.0435 -3.1077 6.1173
Ac 1.8995 -3.3817 -1.3940
Tl -3.0883 -2.1365 0.9748
Tl 3.9443 -4.3529 3.7485
```

Results
The formation energy without anion corrections is -1.9677 eV/atom. The symmetry is No. 14.